Pr12Sm3Y after structural relaxation, computed with PBE.

* symmetry: P4/mmm
* ΔH_f (0 K): 0.011 eV/atom

Cell: 5.2213 5.2213 20.8442 Å, 90.00 90.00 90.00°
Element x y z (fractional)
Pr 0.5000 0.5000 0.0000
Pr 0.5000 0.5000 0.2490
Pr 0.5000 0.5000 0.5000
Pr 0.5000 0.5000 0.7510
Pr 0.5000 0.0000 0.1242
Pr 0.5000 0.0000 0.3746
Pr 0.5000 0.0000 0.6254
Pr 0.5000 0.0000 0.8758
Pr 0.0000 0.5000 0.1242
Pr 0.0000 0.5000 0.3746
Pr 0.0000 0.5000 0.6254
Pr 0.0000 0.5000 0.8758
Sm 0.0000 0.0000 0.2490
Sm 0.0000 0.0000 0.5000
Sm 0.0000 0.0000 0.7510
Y 0.0000 0.0000 0.0000